[1]
A geometry-optimized Tb2Hg2Ir structure. Source: Alexandria, functional PBE.

Computed properties:
symmetry: No. 139
magnetization: 0.0 μB per formula unit
raw total energy: -4.2955 eV per atom
formation enthalpy at 0 K: -0.550 eV per atom

Unit cell a=3.4731 b=3.4731 c=10.0026 alpha=100.00 beta=100.00 gamma=90.00
Closest atoms and distances in Å follow each position.
Atoms (fractional coordinates):
Tb: 0.5866 0.5866 0.1732  4 Ir 2.98, 4 Hg 3.28
Tb: 0.4134 0.4134 0.8268  4 Ir 2.98, 4 Hg 3.28
Hg: 0.8014 0.8014 0.6028  8 Hg 3.16-3.47, 4 Tb 3.28
Hg: 0.1986 0.1986 0.3972  8 Hg 3.16-3.47, 4 Tb 3.28
Ir: 0.0000 0.0000 0.0000  8 Tb 2.98

[2]
A geometry-optimized Tb3Hg2Ir structure. Source: Alexandria, functional PBE.

Computed properties:
symmetry: No. 15
magnetization: 0.0 μB per formula unit
raw total energy: -4.4269 eV per atom
formation enthalpy at 0 K: -0.534 eV per atom

Unit cell a=5.5120 b=7.7635 c=8.1312 alpha=96.96 beta=109.81 gamma=90.00
Closest atoms and distances in Å follow each position.
Atoms (fractional coordinates):
Tb: 0.4993 0.2500 0.0000  2 Ir 2.76
Tb: 0.5007 0.7500 0.0000  2 Ir 2.76
Tb: 0.1308 0.0297 0.2618  2 Ir 2.76-2.80
Tb: 0.8690 0.4703 0.7382  2 Ir 2.76-2.80
Tb: 0.1310 0.5297 0.2618  2 Ir 2.76-2.80
Tb: 0.8692 0.9703 0.7382  2 Ir 2.76-2.80
Hg: 0.6989 0.6817 0.3975  5 Tb 3.12-3.25, 2 Hg 3.28
Hg: 0.6985 0.1817 0.3975  5 Tb 3.12-3.25, 2 Hg 3.28
Hg: 0.3015 0.8183 0.6025  5 Tb 3.12-3.25, 2 Hg 3.28
Hg: 0.3011 0.3183 0.6025  5 Tb 3.12-3.25, 2 Hg 3.28
Ir: 0.0007 0.7500 0.0000  6 Tb 2.76-2.80
Ir: 0.9993 0.2500 0.0000  6 Tb 2.76-2.80

[3]
A geometry-optimized Tb7Hg2Ir2 structure. Source: Alexandria, functional PBE.

Computed properties:
symmetry: No. 65
magnetization: 0.0 μB per formula unit
raw total energy: -5.0738 eV per atom
formation enthalpy at 0 K: -0.461 eV per atom

Unit cell a=6.7962 b=7.1426 c=6.7962 alpha=90.00 beta=106.43 gamma=90.00
Closest atoms and distances in Å follow each position.
Atoms (fractional coordinates):
Tb: 0.0000 0.2502 0.5000  2 Ir 2.74
Tb: 0.5000 0.7498 0.0000  2 Ir 2.74
Tb: 0.0000 0.7498 0.5000  2 Ir 2.74
Tb: 0.5000 0.2502 0.0000  2 Ir 2.74
Tb: 0.0000 0.0000 0.0000  2 Ir 3.13
Tb: 0.5000 0.7562 0.5000  2 Ir 2.90, 2 Hg 3.16
Tb: 0.5000 0.2438 0.5000  2 Ir 2.90, 2 Hg 3.16
Hg: 0.8160 0.5000 0.8160  1 Hg 2.99, 6 Tb 3.16-3.30
Hg: 0.1840 0.5000 0.1840  1 Hg 2.99, 6 Tb 3.16-3.30
Ir: 0.7125 0.0000 0.2875  6 Tb 2.74-2.90
Ir: 0.2875 0.0000 0.7125  6 Tb 2.74-2.90

[4]
A geometry-optimized Tb5Hg2Ir2 structure. Source: Alexandria, functional PBE.

Computed properties:
symmetry: No. 64
magnetization: 0.0 μB per formula unit
raw total energy: -5.2695 eV per atom
formation enthalpy at 0 K: -0.661 eV per atom

Unit cell a=7.7176 b=7.5287 c=8.7659 alpha=115.43 beta=90.00 gamma=90.00
Closest atoms and distances in Å follow each position.
Atoms (fractional coordinates):
Tb: 0.0000 0.0000 0.0000  4 Ir 2.97-3.00
Tb: 0.5000 0.5000 0.0000  4 Ir 2.97-3.00
Tb: 0.8289 0.7915 0.2424  3 Ir 2.87-3.05, 3 Hg 3.17-3.20
Tb: 0.1711 0.4509 0.2424  3 Ir 2.87-3.05, 3 Hg 3.17-3.20
Tb: 0.3289 0.9509 0.2424  3 Ir 2.87-3.05, 3 Hg 3.17-3.20
Tb: 0.6711 0.2915 0.2424  3 Ir 2.87-3.05, 3 Hg 3.17-3.20
Tb: 0.1711 0.2085 0.7576  3 Ir 2.87-3.05, 3 Hg 3.17-3.20
Tb: 0.8289 0.5491 0.7576  3 Ir 2.87-3.05, 3 Hg 3.17-3.20
Tb: 0.6711 0.0491 0.7576  3 Ir 2.87-3.05, 3 Hg 3.17-3.20
Tb: 0.3289 0.7085 0.7576  3 Ir 2.87-3.05, 3 Hg 3.17-3.20
Hg: 0.0000 0.2137 0.4274  7 Tb 3.17-3.38
Hg: 0.5000 0.7137 0.4274  7 Tb 3.17-3.38
Hg: 0.0000 0.7863 0.5726  7 Tb 3.17-3.38
Hg: 0.5000 0.2863 0.5726  7 Tb 3.17-3.38
Ir: 0.6328 0.8696 0.0000  1 Ir 2.84, 8 Tb 2.87-3.05
Ir: 0.3672 0.1304 0.0000  1 Ir 2.84, 8 Tb 2.87-3.05
Ir: 0.1328 0.6304 0.0000  1 Ir 2.84, 8 Tb 2.87-3.05
Ir: 0.8672 0.3696 0.0000  1 Ir 2.84, 8 Tb 2.87-3.05

> formation enthalpy at 0 K of number 2 (Tb3Hg2Ir)?

-0.534 eV per atom

> What is the magnetization in the first record?

0.0 μB per formula unit

> Number 4 is which compound?

Tb5Hg2Ir2